Entry 1:
Compound: Na
Source: the Alexandria database
Functional: PBE-GGA
Structure: relaxed

Properties
Crystal system: orthorhombic

a b c (Å): 6.1240 13.0179 3.8006
angles (deg): 90.00 90.00 90.00
Closest atoms and distances in Å follow each position.
Space group Cmce (No. 64)
Asymmetric unit:
Na (0.0000, 0.1313, 0.0017) (multiplicity 8)  9 Na 3.42-3.80

Entry 2:
Compound: Na
Source: the Alexandria database
Functional: PBE-GGA
Structure: relaxed

Properties
Crystal system: cubic

a b c (Å): 5.2929 5.2929 5.2929
angles (deg): 90.00 90.00 90.00
Closest atoms and distances in Å follow each position.
Space group Fm-3m (No. 225)
Asymmetric unit:
Na (0.0000, 0.0000, 0.0000) (multiplicity 4)  12 Na 3.74

Entry 3:
Compound: Na
Source: the Alexandria database
Functional: PBE-GGA
Structure: relaxed

Properties
Crystal system: cubic

a b c (Å): 10.6250 10.6250 10.6250
angles (deg): 90.00 90.00 90.00
Closest atoms and distances in Å follow each position.
Space group I-43m (No. 217)
Asymmetric unit:
Na (0.1175, 0.1175, 0.8825) (multiplicity 8)  7 Na 3.42-3.54
Na (0.1965, 0.1965, 0.1965) (multiplicity 8)  4 Na 3.42-3.54

Excess energy over the best structure of this formula in the dataset (computed, meV per atom): 45 9 334